An optimized crystal structure of V3Pt2Rh2, computed with PBE.

Properties
Energy of formation (eV/atom): -0.40
Fermi-level density of states (states/eV/f.u.): 7.0
Energy above the most stable polymorph in this dataset (meV per atom): 0.0

Geometry as CIF:
```
data_V3Pt2Rh2
_chemical_formula_sum 'V6 Pt4 Rh4'
_symmetry_space_group_name_H-M 'C 1 2/m 1'
_symmetry_Int_Tables_number 12
_symmetry_space_group_name_Hall '-C 2y'
_cell_length_a 8.672
_cell_length_b 3.799
_cell_length_c 6.145
_cell_angle_alpha 90.00
_cell_angle_beta 98.36
_cell_angle_gamma 90.00
loop_
_atom_site_label
_atom_site_type_symbol
_atom_site_fract_x
_atom_site_fract_y
_atom_site_fract_z
V1 V 0.000 0.000 0.000
V2 V 0.206 0.500 0.164
Pt1 Pt 0.082 0.500 0.744
Rh1 Rh 0.141 0.000 0.417
```